1.
First-principles (PBE) data for a relaxed Hf2MgPt3 crystal, as listed in Alexandria via LeMat-Bulk.

## Properties
Formation energy from the elements ... -6.052 eV/f.u.
Total moment ... 0.0 μB per cell
DFT total energy ... -7.613 eV per atom

```
data_Hf2MgPt3
_cell_length_a 8.1947
_cell_length_b 13.8884
_cell_length_c 4.6466
_cell_angle_alpha 90.00
_cell_angle_beta 124.45
_cell_angle_gamma 90.00
_symmetry_space_group_name_H-M 'C 1 2/c 1'
_symmetry_Int_Tables_number 15
_symmetry_space_group_name_Hall '-C 2yc'
loop_
_atom_site_label
_atom_site_fract_x
_atom_site_fract_y
_atom_site_fract_z
Hf1 0.0000 0.0846 0.2500
Hf2 0.0000 0.2602 0.7500
Mg1 0.0000 0.4252 0.2500
Pt1 0.2232 0.0917 0.9732
Pt2 0.2500 0.2500 0.5000
```

---

2.
First-principles (PBE) data for a relaxed HfMgPt crystal, as listed in Alexandria via LeMat-Bulk.

## Properties
Formation energy from the elements ... -1.486 eV/f.u.
Total moment ... 0.7 μB per cell
DFT total energy ... -6.358 eV per atom

```
data_HfMgPt
_cell_length_a 3.2907
_cell_length_b 3.2907
_cell_length_c 22.7026
_cell_angle_alpha 90.00
_cell_angle_beta 90.00
_cell_angle_gamma 90.00
_symmetry_space_group_name_H-M 'I 4/m m m'
_symmetry_Int_Tables_number 139
_symmetry_space_group_name_Hall '-I 4 2'
loop_
_atom_site_label
_atom_site_fract_x
_atom_site_fract_y
_atom_site_fract_z
Hf1 0.0000 0.0000 0.0685
Mg1 0.0000 0.0000 0.2053
Pt1 0.0000 0.0000 0.3675
```